## i
Compound: Nb5Sb4
Source: the Alexandria database
Functional: PBE-GGA
Structure: relaxed

POSCAR file:
```
Nb5Sb4
1.0
-2.331 3.050 6.525
-1.099 -2.268 -7.139
-0.239 -7.059 2.726
Nb Sb
5 4
Direct
0.000 0.000 0.000
0.689 0.371 0.060
0.371 0.311 0.683
0.629 0.689 0.317
0.311 0.629 0.940
0.947 0.294 0.241
0.294 0.053 0.346
0.706 0.947 0.654
0.053 0.706 0.759
```

As for the density of states at the Fermi level: 4.1 states/eV/f.u. For the spin magnetization, the calculation gives 0.00 μB per formula unit. The value obtained for the mass density is 8.17 g cm⁻³. As for the space group: I4/m, No. 87.

## ii
Compound: Nb5Sb4
Source: the Alexandria database
Functional: PBE-GGA
Structure: relaxed

POSCAR file:
```
Nb5Sb4
1.0
4.631 -4.542 3.847
-5.505 5.119 -0.605
-4.538 -5.682 -2.000
Nb Sb
5 4
Direct
0.045 0.345 0.391
0.655 0.045 0.700
0.000 0.000 0.000
0.955 0.655 0.609
0.345 0.955 0.300
0.364 0.678 0.042
0.322 0.364 0.686
0.636 0.322 0.958
0.678 0.636 0.314
```

As for the density of states at the Fermi level: 6.6 states/eV/f.u. For the spin magnetization, the calculation gives 0.00 μB per formula unit. The value obtained for the mass density is 8.60 g cm⁻³. As for the space group: I4/m, No. 87.

Of them, i has the highest stability.

## i
Compound: ScNbSb2
Source: the Alexandria database
Functional: PBE-GGA
Structure: relaxed

POSCAR file:
```
ScNbSb2
1.0
-4.540 2.498 3.689
3.403 -1.454 5.173
2.475 6.521 4.115
Sc Sb Nb
2 4 2
Direct
0.500 0.500 0.000
0.250 0.750 0.500
0.643 0.125 0.250
0.107 0.625 0.250
0.375 0.357 0.750
0.875 0.893 0.750
0.000 0.000 0.000
0.750 0.250 0.500
```

As for the density of states at the Fermi level: 3.2 states/eV/f.u. For the spin magnetization, the calculation gives 1.97 μB per formula unit. The value obtained for the mass density is 4.65 g cm⁻³. As for the space group: I-42d, No. 122.

## ii
Compound: ScNbSb2
Source: the Alexandria database
Functional: PBE-GGA
Structure: relaxed

POSCAR file:
```
ScNbSb2
1.0
4.006 0.000 0.000
2.003 3.470 0.000
2.003 1.157 6.827
Sc Sb Nb
1 2 1
Direct
0.000 0.000 0.000
0.248 0.248 0.257
0.752 0.752 0.743
0.500 0.500 0.500
```

As for the density of states at the Fermi level: 1.9 states/eV/f.u. For the spin magnetization, the calculation gives 0.00 μB per formula unit. The value obtained for the mass density is 6.67 g cm⁻³. As for the space group: R-3m, No. 166.

## iii
Compound: ScNbSb2
Source: the Alexandria database
Functional: PBE-GGA
Structure: relaxed

POSCAR file:
```
ScNbSb2
1.0
4.698 -0.888 -1.239
2.776 -2.966 2.809
1.313 -4.460 -1.666
Sc Sb Nb
1 2 1
Direct
0.000 0.000 0.000
0.250 0.250 0.250
0.750 0.750 0.750
0.500 0.500 0.500
```

As for the density of states at the Fermi level: 4.6 states/eV/f.u. For the spin magnetization, the calculation gives 0.00 μB per formula unit. The value obtained for the mass density is 7.43 g cm⁻³. As for the space group: Fm-3m, No. 225.

Of them, ii has the highest stability.

## i
Compound: Nb2SbSe2
Source: the Alexandria database
Functional: PBE-GGA
Structure: relaxed

POSCAR file:
```
Nb2SbSe2
1.0
7.851 0.000 0.000
0.000 7.851 0.000
0.000 0.000 3.133
Sb Nb Se
2 4 4
Direct
0.000 0.000 0.000
0.500 0.500 0.000
0.165 0.665 0.500
0.665 0.835 0.500
0.835 0.335 0.500
0.335 0.165 0.500
0.370 0.870 0.000
0.870 0.630 0.000
0.630 0.130 0.000
0.130 0.370 0.000
```

As for the density of states at the Fermi level: 3.3 states/eV/f.u. For the spin magnetization, the calculation gives 0.00 μB per formula unit. The value obtained for the mass density is 8.01 g cm⁻³. As for the space group: P4/mbm, No. 127.

## ii
Compound: Nb2SbSe2
Source: the Alexandria database
Functional: PBE-GGA
Structure: relaxed

POSCAR file:
```
Nb2SbSe2
1.0
4.717 0.000 0.000
0.000 4.717 0.000
2.358 2.358 4.791
Sb Nb Se
1 2 2
Direct
0.000 0.000 0.000
0.750 0.250 0.500
0.250 0.750 0.500
0.357 0.357 0.285
0.643 0.643 0.715
```

As for the density of states at the Fermi level: 5.3 states/eV/f.u. For the spin magnetization, the calculation gives 0.00 μB per formula unit. The value obtained for the mass density is 7.25 g cm⁻³. As for the space group: I4/mmm, No. 139.

Of them, ii has the highest stability.